Entry one
A plane-wave DFT calculation with PBEsol was carried out for MoPb2Au after structural relaxation.

Values from the calculation:
Magnetization = 0.00 μB per formula unit
Space-group type = Cmmm (65)
N(E_F) = 3.5 states/eV/f.u.

Lattice parameters (Å, degrees): 3.087 3.087 9.266 90.00 90.00 104.96
Element x y z (fractional)
Mo  0.000  0.000  0.000
Pb  0.500  0.500  0.239
Pb  0.500  0.500  0.761
Au  0.000  0.000  0.500

Entry two
A plane-wave DFT calculation with PBEsol was carried out for MoPb2Au after structural relaxation.

Values from the calculation:
Magnetization = 1.22 μB per formula unit
Space-group type = I-4m2 (119)
N(E_F) = 2.6 states/eV/f.u.

Lattice parameters (Å, degrees): 5.657 5.657 5.657 137.21 137.21 62.11
Element x y z (fractional)
Mo  0.000  0.000  0.000
Pb  0.500  0.500  0.000
Pb  0.750  0.250  0.500
Au  0.250  0.750  0.500

Entry three
A plane-wave DFT calculation with PBEsol was carried out for MoPb2Au after structural relaxation.

Values from the calculation:
Magnetization = 2.11 μB per formula unit
Space-group type = F-43m (216)
N(E_F) = 3.1 states/eV/f.u.

Lattice parameters (Å, degrees): 4.984 4.984 4.984 60.00 60.00 60.00
Element x y z (fractional)
Mo  0.000  0.000  0.000
Pb  0.250  0.250  0.250
Pb  0.500  0.500  0.500
Au  0.750  0.750  0.750

Short version: entry two is the most stable of them.

Entry one
A plane-wave DFT calculation with PBEsol was carried out for MoPtAu2 after structural relaxation.

Values from the calculation:
Magnetization = 0.00 μB per formula unit
Space-group type = Fm-3m (225)
N(E_F) = 1.7 states/eV/f.u.

Lattice parameters (Å, degrees): 4.482 4.482 4.482 60.00 60.00 60.00
Element x y z (fractional)
Mo  0.000  0.000  0.000
Pt  0.500  0.500  0.500
Au  0.250  0.250  0.250
Au  0.750  0.750  0.750

Entry two
A plane-wave DFT calculation with PBEsol was carried out for MoPtAu2 after structural relaxation.

Values from the calculation:
Magnetization = 2.46 μB per formula unit
Space-group type = P4/mmm (123)
N(E_F) = 5.3 states/eV/f.u.

Lattice parameters (Å, degrees): 4.099 4.099 3.847 90.00 90.00 90.00
Element x y z (fractional)
Mo  0.000  0.000  0.000
Pt  0.500  0.500  0.000
Au  0.000  0.500  0.500
Au  0.500  0.000  0.500

Short version: entry one is the most stable of them.

Entry one
A plane-wave DFT calculation with PBEsol was carried out for Mo2PtAu after structural relaxation.

Values from the calculation:
Magnetization = 0.00 μB per formula unit
Space-group type = F-43m (216)
N(E_F) = 4.8 states/eV/f.u.

Lattice parameters (Å, degrees): 4.457 4.457 4.457 60.00 60.00 60.00
Element x y z (fractional)
Mo  0.000  0.000  0.000
Mo  0.250  0.250  0.250
Pt  0.500  0.500  0.500
Au  0.750  0.750  0.750

Entry two
A plane-wave DFT calculation with PBEsol was carried out for Mo2PtAu after structural relaxation.

Values from the calculation:
Magnetization = 0.00 μB per formula unit
Space-group type = P2/m (10)
N(E_F) = 4.2 states/eV/f.u.

Lattice parameters (Å, degrees): 4.784 2.776 4.909 90.00 108.93 90.00
Element x y z (fractional)
Mo  0.000  0.000  0.000
Mo  0.500  0.500  0.000
Pt  0.000  0.500  0.500
Au  0.500  0.000  0.500

Entry three
A plane-wave DFT calculation with PBEsol was carried out for Mo2PtAu after structural relaxation.

Values from the calculation:
Magnetization = 0.00 μB per formula unit
Space-group type = P4mm (99)
N(E_F) = 2.1 states/eV/f.u.

Lattice parameters (Å, degrees): 2.729 2.729 8.358 90.00 90.00 90.00
Element x y z (fractional)
Mo  0.000  0.000  0.000
Mo  0.500  0.500  0.263
Pt  0.000  0.000  0.485
Au  0.500  0.500  0.752

Short version: entry three is the most stable of them.

Entry one
A plane-wave DFT calculation with PBEsol was carried out for ReMoAu after structural relaxation.

Values from the calculation:
Magnetization = 0.00 μB per formula unit
Space-group type = Fmm2 (42)
N(E_F) = 1.9 states/eV/f.u.

Lattice parameters (Å, degrees): 7.217 7.056 2.687 82.54 75.79 21.66
Element x y z (fractional)
Re  0.000  0.000  0.000
Mo  0.348  0.348  0.652
Au  0.675  0.675  0.325

Entry two
A plane-wave DFT calculation with PBEsol was carried out for ReMoAu after structural relaxation.

Values from the calculation:
Magnetization = 0.00 μB per formula unit
Space-group type = I4mm (107)
N(E_F) = 3.6 states/eV/f.u.

Lattice parameters (Å, degrees): 6.331 6.331 6.331 154.60 154.60 36.23
Element x y z (fractional)
Re  0.000  0.000  0.000
Mo  0.349  0.349  0.000
Au  0.674  0.674  0.000

Short version: entry one is the most stable of them.

Entry one
A plane-wave DFT calculation with PBEsol was carried out for ReMo2Au after structural relaxation.

Values from the calculation:
Magnetization = 0.00 μB per formula unit
Space-group type = I4/mmm (139)
N(E_F) = 2.4 states/eV/f.u.

Lattice parameters (Å, degrees): 4.796 4.796 4.796 131.34 131.34 71.27
Element x y z (fractional)
Re  0.000  0.000  0.000
Mo  0.250  0.750  0.500
Mo  0.750  0.250  0.500
Au  0.500  0.500  0.000

Entry two
A plane-wave DFT calculation with PBEsol was carried out for ReMo2Au after structural relaxation.

Values from the calculation:
Magnetization = 0.00 μB per formula unit
Space-group type = P4/mmm (123)
N(E_F) = 3.2 states/eV/f.u.

Lattice parameters (Å, degrees): 3.304 3.304 5.714 90.00 90.00 90.00
Element x y z (fractional)
Re  0.000  0.000  0.000
Mo  0.500  0.500  0.229
Mo  0.500  0.500  0.771
Au  0.000  0.000  0.500

Short version: entry one is the most stable of them.

Entry one
A plane-wave DFT calculation with PBEsol was carried out for MoRh2Au after structural relaxation.

Values from the calculation:
Magnetization = 0.00 μB per formula unit
Space-group type = Cm (8)
N(E_F) = 4.5 states/eV/f.u.

Lattice parameters (Å, degrees): 4.791 4.791 4.711 100.07 100.07 33.39
Element x y z (fractional)
Mo  0.000  0.000  0.000
Rh  0.254  0.254  0.782
Rh  0.510  0.510  0.523
Au  0.756  0.756  0.277

Entry two
A plane-wave DFT calculation with PBEsol was carried out for MoRh2Au after structural relaxation.

Values from the calculation:
Magnetization = 0.00 μB per formula unit
Space-group type = P4/mmm (123)
N(E_F) = 3.2 states/eV/f.u.

Lattice parameters (Å, degrees): 2.754 2.754 7.778 90.00 90.00 90.00
Element x y z (fractional)
Mo  0.000  0.000  0.000
Rh  0.500  0.500  0.232
Rh  0.500  0.500  0.768
Au  0.000  0.000  0.500

Entry three
A plane-wave DFT calculation with PBEsol was carried out for MoRh2Au after structural relaxation.

Values from the calculation:
Magnetization = 0.00 μB per formula unit
Space-group type = F-43m (216)
N(E_F) = 4.5 states/eV/f.u.

Lattice parameters (Å, degrees): 4.382 4.382 4.382 60.00 60.00 60.00
Element x y z (fractional)
Mo  0.000  0.000  0.000
Rh  0.250  0.250  0.250
Rh  0.500  0.500  0.500
Au  0.750  0.750  0.750

Entry four
A plane-wave DFT calculation with PBEsol was carried out for MoRh2Au after structural relaxation.

Values from the calculation:
Magnetization = 0.00 μB per formula unit
Space-group type = Fm-3m (225)
N(E_F) = 4.7 states/eV/f.u.

Lattice parameters (Å, degrees): 4.377 4.377 4.377 60.00 60.00 60.00
Element x y z (fractional)
Mo  0.000  0.000  0.000
Rh  0.250  0.250  0.250
Rh  0.750  0.750  0.750
Au  0.500  0.500  0.500

Short version: entry two is the most stable of them.

Entry one
A plane-wave DFT calculation with PBEsol was carried out for MoRuAu after structural relaxation.

Values from the calculation:
Magnetization = 0.00 μB per formula unit
Space-group type = F-43m (216)
N(E_F) = 2.9 states/eV/f.u.

Lattice parameters (Å, degrees): 4.223 4.223 4.223 60.00 60.00 60.00
Element x y z (fractional)
Mo  0.000  0.000  0.000
Ru  0.750  0.750  0.750
Au  0.250  0.250  0.250

Entry two
A plane-wave DFT calculation with PBEsol was carried out for MoRuAu after structural relaxation.

Values from the calculation:
Magnetization = 0.00 μB per formula unit
Space-group type = P-6m2 (187)
N(E_F) = 2.8 states/eV/f.u.

Lattice parameters (Å, degrees): 4.323 4.323 2.850 90.00 90.00 120.00
Element x y z (fractional)
Mo  0.000  0.000  0.000
Ru  0.667  0.333  0.000
Au  0.333  0.667  0.500

Short version: entry two is the most stable of them.

Entry one
A plane-wave DFT calculation with PBEsol was carried out for ScMo2Au after structural relaxation.

Values from the calculation:
Magnetization = 0.00 μB per formula unit
Space-group type = Pmmm (47)
N(E_F) = 2.7 states/eV/f.u.

Lattice parameters (Å, degrees): 2.723 4.604 5.399 90.00 90.00 90.00
Element x y z (fractional)
Sc  0.000  0.000  0.000
Mo  0.500  0.500  0.233
Mo  0.500  0.500  0.767
Au  0.000  0.000  0.500

Entry two
A plane-wave DFT calculation with PBEsol was carried out for ScMo2Au after structural relaxation.

Values from the calculation:
Magnetization = 0.00 μB per formula unit
Space-group type = R3m (160)
N(E_F) = 3.6 states/eV/f.u.

Lattice parameters (Å, degrees): 8.712 8.712 8.712 20.33 20.33 20.33
Element x y z (fractional)
Sc  0.000  0.000  0.000
Mo  0.245  0.245  0.245
Mo  0.509  0.509  0.509
Au  0.754  0.754  0.754

Short version: entry two is the most stable of them.